# 1
# LiLuZnRh | Alexandria via LeMat-Bulk | PBE | relaxed
# DFT formation energy: -495 meV per atom
data_LiLuZnRh
_chemical_formula_sum 'Li4 Lu4 Zn4 Rh4'
_cell_length_a 6.452
_cell_length_b 6.452
_cell_length_c 6.452
_cell_angle_alpha 90.00
_cell_angle_beta 90.00
_cell_angle_gamma 90.00
_symmetry_space_group_name_H-M 'F -4 3 m'
_symmetry_Int_Tables_number 216
_symmetry_space_group_name_Hall 'F -4 2 3'
loop_
_atom_site_label
_atom_site_type_symbol
_atom_site_fract_x
_atom_site_fract_y
_atom_site_fract_z
Li1 Li 0.000 0.000 0.000
Lu1 Lu 0.250 0.250 0.750
Zn1 Zn 0.250 0.250 0.250
Rh1 Rh 0.000 0.000 0.500

# 2
# LiLuRu4 | Alexandria via LeMat-Bulk | PBE | relaxed
# DFT formation energy: 14 meV per atom
data_LiLuRu4
_chemical_formula_sum 'Li4 Lu4 Ru16'
_cell_length_a 7.347
_cell_length_b 7.347
_cell_length_c 7.347
_cell_angle_alpha 90.00
_cell_angle_beta 90.00
_cell_angle_gamma 90.00
_symmetry_space_group_name_H-M 'F -4 3 m'
_symmetry_Int_Tables_number 216
_symmetry_space_group_name_Hall 'F -4 2 3'
loop_
_atom_site_label
_atom_site_type_symbol
_atom_site_fract_x
_atom_site_fract_y
_atom_site_fract_z
Li1 Li 0.000 0.000 0.000
Lu1 Lu 0.250 0.250 0.250
Ru1 Ru 0.125 0.125 0.625

# 3
# LiLuSbRu | Alexandria via LeMat-Bulk | PBE | relaxed
# Energy relative to the elements, uncorrected: -12.133 kcal/mol of atoms
data_LiLuSbRu
_chemical_formula_sum 'Li4 Lu4 Sb4 Ru4'
_cell_length_a 6.575
_cell_length_b 6.575
_cell_length_c 6.575
_cell_angle_alpha 90.00
_cell_angle_beta 90.00
_cell_angle_gamma 90.00
_symmetry_space_group_name_H-M 'F -4 3 m'
_symmetry_Int_Tables_number 216
_symmetry_space_group_name_Hall 'F -4 2 3'
loop_
_atom_site_label
_atom_site_type_symbol
_atom_site_fract_x
_atom_site_fract_y
_atom_site_fract_z
Li1 Li 0.000 0.000 0.000
Lu1 Lu 0.250 0.250 0.250
Sb1 Sb 0.250 0.250 0.750
Ru1 Ru 0.000 0.000 0.500

Number 1: volume 268.5 Å³/cell, magnetic moment 0.0 Bohr magnetons per cell. Number 2: volume 396.6 Å³/cell, magnetic moment 0.2 Bohr magnetons per cell. Number 3: volume 284.2 Å³/cell, magnetic moment 0.0 Bohr magnetons per cell.